Arrangement A

## AgIr2Cl (PBE-GGA)

Data for crystalline AgIr2Cl at its relaxed geometry.

Summary:
For the magnetization, the calculation gives 1.5 μB/cell.

a = 4.531 Å, b = 4.531 Å, c = 4.531 Å
α = 60.00°, β = 60.00°, γ = 60.00°
Positions (direct):
Ag: 0.000 0.000 0.000
Ir: 0.250 0.250 0.250
Ir: 0.500 0.500 0.500
Cl: 0.750 0.750 0.750

---

Arrangement B

## AgIr2Cl (PBE-GGA)

Data for crystalline AgIr2Cl at its relaxed geometry.

Summary:
For the magnetization, the calculation gives 0.0 μB/cell.

a = 2.890 Å, b = 2.890 Å, c = 8.101 Å
α = 90.00°, β = 90.00°, γ = 90.00°
Positions (direct):
Ag: 0.000 0.000 0.000
Ir: 0.000 0.000 0.540
Ir: 0.500 0.500 0.745
Cl: 0.500 0.500 0.302

---

It is arrangement B that is most stable; the runner-up trails by 54.9 kJ/mol of atoms.